--- w ---
# Li2SiPd5, relaxed, DFT PBE
# M_tot, μB per formula unit: 0.000
# Density, Mg/m³: 8.7
data_Li2SiPd5
_chemical_formula_sum 'Li8 Si4 Pd20'
_space_group_name_H-M_alt 'I 4/m c m'
_space_group_IT_number 140
_space_group_name_Hall '-I 4 2c'
_cell_length_a 6.048
_cell_length_b 6.048
_cell_length_c 11.979
_cell_angle_alpha 90.00
_cell_angle_beta 90.00
_cell_angle_gamma 90.00
loop_
_atom_site_label
_atom_site_type_symbol
_atom_site_fract_x
_atom_site_fract_y
_atom_site_fract_z
Li1 Li 0.135 0.365 0.000
Si1 Si 0.000 0.000 0.250
Pd1 Pd 0.000 0.000 0.000
Pd2 Pd 0.163 0.337 0.345

--- x ---
# Li2SiPd5, relaxed, DFT PBE
# M_tot, μB per formula unit: 0.000
# Density, Mg/m³: 8.6
data_Li2SiPd5
_chemical_formula_sum 'Li4 Si2 Pd10'
_space_group_name_H-M_alt 'P b a m'
_space_group_IT_number 55
_cell_length_a 5.340
_cell_length_b 10.155
_cell_length_c 4.092
_cell_angle_alpha 90.00
_cell_angle_beta 90.00
_cell_angle_gamma 90.00
loop_
_space_group_symop_operation_xyz
'x,y,z'
'-x,-y,-z'
'-x,-y,z'
'x,y,-z'
'x+1/2,-y+1/2,-z'
'-x+1/2,y+1/2,z'
'-x+1/2,y+1/2,-z'
'x+1/2,-y+1/2,z'
loop_
_atom_site_label
_atom_site_type_symbol
_atom_site_fract_x
_atom_site_fract_y
_atom_site_fract_z
Li1 Li 0.151 0.137 0.000
Si1 Si 0.000 0.500 0.500
Pd1 Pd 0.000 0.000 0.500
Pd2 Pd 0.119 0.729 0.500
Pd3 Pd 0.170 0.394 0.000

The structure with the greatest stability is x.

--- w ---
# Li3SiPd4, relaxed, DFT PBE
# M_tot, μB per formula unit: 0.000
# Density, Mg/m³: 6.9
data_Li3SiPd4
_chemical_formula_sum 'Li6 Si2 Pd8'
_space_group_name_H-M_alt 'I m m 2'
_space_group_IT_number 44
_cell_length_a 5.322
_cell_length_b 8.892
_cell_length_c 4.816
_cell_angle_alpha 90.00
_cell_angle_beta 90.00
_cell_angle_gamma 90.00
loop_
_space_group_symop_operation_xyz
'x,y,z'
'-x,-y,z'
'-x,y,z'
'x,-y,z'
'x+1/2,y+1/2,z+1/2'
'-x+1/2,-y+1/2,z+1/2'
'-x+1/2,y+1/2,z+1/2'
'x+1/2,-y+1/2,z+1/2'
loop_
_atom_site_label
_atom_site_type_symbol
_atom_site_fract_x
_atom_site_fract_y
_atom_site_fract_z
Li1 Li 0.000 0.000 0.000
Li2 Li 0.000 0.248 0.792
Si1 Si 0.000 0.500 0.524
Pd1 Pd 0.000 0.267 0.298
Pd2 Pd 0.248 0.500 0.973

--- x ---
# Li3SiPd4, relaxed, DFT PBE
# M_tot, μB per formula unit: 0.000
# Density, Mg/m³: 7.5
data_Li3SiPd4
_chemical_formula_sum 'Li6 Si2 Pd8'
_space_group_name_H-M_alt 'I 4/m m m'
_space_group_IT_number 139
_space_group_name_Hall '-I 4 2'
_cell_length_a 4.209
_cell_length_b 4.209
_cell_length_c 11.836
_cell_angle_alpha 90.00
_cell_angle_beta 90.00
_cell_angle_gamma 90.00
loop_
_atom_site_label
_atom_site_type_symbol
_atom_site_fract_x
_atom_site_fract_y
_atom_site_fract_z
Li1 Li 0.000 0.000 0.000
Li2 Li 0.000 0.000 0.248
Si1 Si 0.000 0.000 0.500
Pd1 Pd 0.000 0.500 0.121

The structure with the greatest stability is x.

--- w ---
# Li2SiPd2, relaxed, DFT PBE
# M_tot, μB per formula unit: 0.000
# Density, Mg/m³: 6.5
data_Li2SiPd2
_chemical_formula_sum 'Li4 Si2 Pd4'
_space_group_name_H-M_alt 'P 4/m b m'
_space_group_IT_number 127
_space_group_name_Hall '-P 4 2ab'
_cell_length_a 6.599
_cell_length_b 6.599
_cell_length_c 2.967
_cell_angle_alpha 90.00
_cell_angle_beta 90.00
_cell_angle_gamma 90.00
loop_
_atom_site_label
_atom_site_type_symbol
_atom_site_fract_x
_atom_site_fract_y
_atom_site_fract_z
Li1 Li 0.117 0.383 0.000
Si1 Si 0.000 0.000 0.000
Pd1 Pd 0.188 0.688 0.500

--- x ---
# Li2SiPd2, relaxed, DFT PBE
# M_tot, μB per formula unit: 0.000
# Density, Mg/m³: 5.3
data_Li2SiPd2
_chemical_formula_sum 'Li4 Si2 Pd4'
_space_group_name_H-M_alt 'P 4/m b m'
_space_group_IT_number 127
_space_group_name_Hall '-P 4 2ab'
_cell_length_a 6.157
_cell_length_b 6.157
_cell_length_c 4.194
_cell_angle_alpha 90.00
_cell_angle_beta 90.00
_cell_angle_gamma 90.00
loop_
_atom_site_label
_atom_site_type_symbol
_atom_site_fract_x
_atom_site_fract_y
_atom_site_fract_z
Li1 Li 0.161 0.339 0.000
Si1 Si 0.000 0.000 0.500
Pd1 Pd 0.155 0.655 0.500

--- y ---
# Li2SiPd2, relaxed, DFT PBE
# M_tot, μB per formula unit: 0.000
# Density, Mg/m³: 6.2
data_Li2SiPd2
_chemical_formula_sum 'Li8 Si4 Pd8'
_space_group_name_H-M_alt 'C 1 2/c 1'
_space_group_IT_number 15
_cell_length_a 8.153
_cell_length_b 5.093
_cell_length_c 7.705
_cell_angle_alpha 90.00
_cell_angle_beta 121.68
_cell_angle_gamma 90.00
loop_
_space_group_symop_operation_xyz
'x,y,z'
'-x,-y,-z'
'-x,y,-z+1/2'
'x,-y,z+1/2'
'x+1/2,y+1/2,z'
'-x+1/2,-y+1/2,-z'
'-x+1/2,y+1/2,-z+1/2'
'x+1/2,-y+1/2,z+1/2'
loop_
_atom_site_label
_atom_site_type_symbol
_atom_site_fract_x
_atom_site_fract_y
_atom_site_fract_z
Li1 Li 0.103 0.126 0.457
Si1 Si 0.000 0.374 0.750
Pd1 Pd 0.191 0.375 0.131

--- z ---
# Li2SiPd2, relaxed, DFT PBE
# M_tot, μB per formula unit: 0.000
# Density, Mg/m³: 6.1
data_Li2SiPd2
_chemical_formula_sum 'Li4 Si2 Pd4'
_space_group_name_H-M_alt 'I 4/m m m'
_space_group_IT_number 139
_space_group_name_Hall '-I 4 2'
_cell_length_a 3.133
_cell_length_b 3.133
_cell_length_c 14.141
_cell_angle_alpha 90.00
_cell_angle_beta 90.00
_cell_angle_gamma 90.00
loop_
_atom_site_label
_atom_site_type_symbol
_atom_site_fract_x
_atom_site_fract_y
_atom_site_fract_z
Li1 Li 0.000 0.500 0.250
Si1 Si 0.000 0.000 0.000
Pd1 Pd 0.000 0.000 0.403

The structure with the greatest stability is y.

--- w ---
# Li3Si4Pd2, relaxed, DFT PBE
# M_tot, μB per formula unit: 0.000
# Density, Mg/m³: 4.4
data_Li3Si4Pd2
_chemical_formula_sum 'Li12 Si16 Pd8'
_space_group_name_H-M_alt 'C 1 2/c 1'
_space_group_IT_number 15
_cell_length_a 12.646
_cell_length_b 7.303
_cell_length_c 5.707
_cell_angle_alpha 90.00
_cell_angle_beta 90.95
_cell_angle_gamma 90.00
loop_
_space_group_symop_operation_xyz
'x,y,z'
'-x,-y,-z'
'-x,y,-z+1/2'
'x,-y,z+1/2'
'x+1/2,y+1/2,z'
'-x+1/2,-y+1/2,-z'
'-x+1/2,y+1/2,-z+1/2'
'x+1/2,-y+1/2,z+1/2'
loop_
_atom_site_label
_atom_site_type_symbol
_atom_site_fract_x
_atom_site_fract_y
_atom_site_fract_z
Li1 Li 0.000 0.005 0.250
Li2 Li 0.172 0.499 0.745
Si1 Si 0.001 0.337 0.540
Si2 Si 0.167 0.176 0.449
Pd1 Pd 0.157 0.150 0.018

--- x ---
# Li3Si4Pd2, relaxed, DFT PBE
# M_tot, μB per formula unit: 0.000
# Density, Mg/m³: 3.9
data_Li3Si4Pd2
_chemical_formula_sum 'Li6 Si8 Pd4'
_space_group_name_H-M_alt 'C 1 2/m 1'
_space_group_IT_number 12
_cell_length_a 10.379
_cell_length_b 3.869
_cell_length_c 7.793
_cell_angle_alpha 90.00
_cell_angle_beta 108.80
_cell_angle_gamma 90.00
loop_
_space_group_symop_operation_xyz
'x,y,z'
'-x,-y,-z'
'-x,y,-z'
'x,-y,z'
'x+1/2,y+1/2,z'
'-x+1/2,-y+1/2,-z'
'-x+1/2,y+1/2,-z'
'x+1/2,-y+1/2,z'
loop_
_atom_site_label
_atom_site_type_symbol
_atom_site_fract_x
_atom_site_fract_y
_atom_site_fract_z
Li1 Li 0.000 0.000 0.000
Li2 Li 0.116 0.500 0.698
Si1 Si 0.082 0.000 0.426
Si2 Si 0.229 0.500 0.073
Pd1 Pd 0.184 0.500 0.353

The structure with the greatest stability is x.

--- w ---
# LiSmPd4, relaxed, DFT PBE
# M_tot, μB per formula unit: 0.000
# Density, Mg/m³: 9.4
data_LiSmPd4
_chemical_formula_sum 'Li2 Sm2 Pd8'
_space_group_name_H-M_alt 'P 1 21/m 1'
_space_group_IT_number 11
_cell_length_a 4.024
_cell_length_b 8.035
_cell_length_c 6.697
_cell_angle_alpha 90.00
_cell_angle_beta 107.59
_cell_angle_gamma 90.00
loop_
_space_group_symop_operation_xyz
'x,y,z'
'-x,-y,-z'
'-x,y+1/2,-z'
'x,-y+1/2,z'
loop_
_atom_site_label
_atom_site_type_symbol
_atom_site_fract_x
_atom_site_fract_y
_atom_site_fract_z
Li1 Li 0.138 0.250 0.276
Sm1 Sm 0.163 0.750 0.324
Pd1 Pd 0.000 0.000 0.000
Pd2 Pd 0.336 0.515 0.673
Pd3 Pd 0.499 0.750 0.996

--- x ---
# LiSmPd4, relaxed, DFT PBE
# M_tot, μB per formula unit: 0.000
# Density, Mg/m³: 8.9
data_LiSmPd4
_chemical_formula_sum 'Li4 Sm4 Pd16'
_space_group_name_H-M_alt 'F -4 3 m'
_space_group_IT_number 216
_space_group_name_Hall 'F -4 2 3'
_cell_length_a 7.590
_cell_length_b 7.590
_cell_length_c 7.590
_cell_angle_alpha 90.00
_cell_angle_beta 90.00
_cell_angle_gamma 90.00
loop_
_atom_site_label
_atom_site_type_symbol
_atom_site_fract_x
_atom_site_fract_y
_atom_site_fract_z
Li1 Li 0.000 0.000 0.000
Sm1 Sm 0.250 0.250 0.250
Pd1 Pd 0.125 0.125 0.625

The structure with the greatest stability is x.

--- w ---
# LiSm2Pd4, relaxed, DFT PBE
# M_tot, μB per formula unit: 0.000
# Density, Mg/m³: 8.1
data_LiSm2Pd4
_chemical_formula_sum 'Li4 Sm8 Pd16'
_space_group_name_H-M_alt 'F m m m'
_space_group_IT_number 69
_space_group_name_Hall '-F 2 2'
_cell_length_a 8.109
_cell_length_b 8.618
_cell_length_c 8.645
_cell_angle_alpha 90.00
_cell_angle_beta 90.00
_cell_angle_gamma 90.00
loop_
_atom_site_label
_atom_site_type_symbol
_atom_site_fract_x
_atom_site_fract_y
_atom_site_fract_z
Li1 Li 0.000 0.000 0.000
Sm1 Sm 0.250 0.250 0.250
Pd1 Pd 0.000 0.000 0.278
Pd2 Pd 0.000 0.221 0.500

--- x ---
# LiSm2Pd4, relaxed, DFT PBE
# M_tot, μB per formula unit: 0.000
# Density, Mg/m³: 8.7
data_LiSm2Pd4
_chemical_formula_sum 'Li2 Sm4 Pd8'
_space_group_name_H-M_alt 'I 4/m m m'
_space_group_IT_number 139
_space_group_name_Hall '-I 4 2'
_cell_length_a 4.343
_cell_length_b 4.343
_cell_length_c 14.915
_cell_angle_alpha 90.00
_cell_angle_beta 90.00
_cell_angle_gamma 90.00
loop_
_atom_site_label
_atom_site_type_symbol
_atom_site_fract_x
_atom_site_fract_y
_atom_site_fract_z
Li1 Li 0.000 0.000 0.000
Sm1 Sm 0.000 0.000 0.349
Pd1 Pd 0.000 0.000 0.154
Pd2 Pd 0.000 0.500 0.000

The structure with the greatest stability is w.